Ni4Ir after structural relaxation, computed with PBE.

- E_tot (eV per atom) = -5.519
- mass density (g/cm³) = 8.9
- E_form (eV/atom) = 0.879
- SG = Im-3m, No. 229

abc: 4.700 4.700 4.700
angles: 109.47 109.47 109.47
Site moments in Bohr magnetons follow the coordinates.
Positions (direct):
Ir: 0.000 0.000 0.000  0.78
Ni: 0.000 0.000 0.500  0.62
Ni: 0.500 0.000 0.000  0.62
Ni: 0.500 0.500 0.500  0.62
Ni: 0.000 0.500 0.000  0.62

---

Tb2LuRh after structural relaxation, computed with PBE.

- E_tot (eV per atom) = -5.572
- mass density (g/cm³) = 8.8
- E_form (eV/atom) = -0.289
- SG = R-3m, No. 166

abc: 3.728 3.728 9.621
angles: 78.83 78.83 60.00
Site moments in Bohr magnetons follow the coordinates.
Positions (direct):
Tb: 0.728 0.728 0.816  0.06
Tb: 0.272 0.272 0.184  0.06
Lu: 0.500 0.500 0.500  0.19
Rh: 0.000 0.000 0.000  0.01

---

Ba2LiCd3 after structural relaxation, computed with PBE.

- E_tot (eV per atom) = -1.674
- mass density (g/cm³) = 5.0
- E_form (eV/atom) = -0.257
- SG = Fmmm, No. 69

abc: 6.809 6.809 9.975
angles: 106.25 106.25 100.39
Positions (direct):
Li: 0.333 0.333 0.666
Li: 0.667 0.667 0.334
Cd: 0.169 0.169 0.338
Cd: 0.338 0.831 0.169
Cd: 0.831 0.831 0.662
Cd: 0.662 0.169 0.831
Cd: 0.169 0.662 0.831
Cd: 0.831 0.338 0.169
Ba: 0.750 0.250 0.500
Ba: 0.750 0.750 0.000
Ba: 0.250 0.750 0.500
Ba: 0.250 0.250 0.000

---

Ce3Nd4Te8 after structural relaxation, computed with PBE.

- E_tot (eV per atom) = -5.567
- mass density (g/cm³) = 6.6
- SG = C2/m, No. 12
- energy relative to the elements, uncorrected (eV per atom) = -1.4334

abc: 8.947 8.965 8.965
angles: 90.04 119.93 119.93
Site moments in Bohr magnetons follow the coordinates.
Positions (direct):
Te: 0.001 0.256 0.256  -0.01
Te: 0.491 0.745 0.745  -0.02
Te: 0.999 0.744 0.744  -0.01
Te: 0.509 0.255 0.255  -0.02
Te: 0.500 0.750 0.250  -0.01
Te: 0.000 0.255 0.745  -0.01
Te: 0.500 0.250 0.750  -0.01
Te: 0.000 0.745 0.255  -0.01
Nd: 0.000 0.500 0.000  0.04
Nd: 0.000 0.000 0.500  0.04
Nd: 0.000 0.000 0.000  0.08
Nd: 0.500 0.000 0.000  0.02
Ce: 0.500 0.500 0.000  1.00
Ce: 0.500 0.000 0.500  1.00
Ce: 0.500 0.500 0.500  0.98

---

AcLuZnHg after structural relaxation, computed with PBE.

- E_tot (eV per atom) = -2.853
- mass density (g/cm³) = 10.0
- E_form (eV/atom) = -0.302
- SG = F-43m, No. 216

abc: 5.397 5.397 5.397
angles: 60.00 60.00 60.00
Positions (direct):
Ac: 0.250 0.250 0.250
Lu: 0.750 0.750 0.750
Hg: 0.500 0.500 0.500
Zn: 0.000 0.000 0.000

---

Ho2Zn5Ni after structural relaxation, computed with PBE.

- E_tot (eV per atom) = -2.983
- mass density (g/cm³) = 8.1
- E_form (eV/atom) = -0.319
- SG = Cmcm, No. 63

abc: 4.018 8.338 8.990
angles: 90.00 90.00 103.94
Positions (direct):
Ho: 0.000 0.000 0.000
Ho: 0.000 0.000 0.500
Ho: 0.183 0.366 0.250
Ho: 0.817 0.634 0.750
Zn: 0.197 0.395 0.607
Zn: 0.401 0.802 0.250
Zn: 0.360 0.721 0.976
Zn: 0.803 0.605 0.393
Zn: 0.640 0.279 0.024
Zn: 0.197 0.395 0.893
Zn: 0.803 0.605 0.107
Zn: 0.640 0.279 0.476
Zn: 0.599 0.198 0.750
Zn: 0.360 0.721 0.524
Ni: 0.448 0.896 0.750
Ni: 0.552 0.104 0.250

---

KTi2In after structural relaxation, computed with PBE.

- E_tot (eV per atom) = -4.015
- mass density (g/cm³) = 3.5
- E_form (eV/atom) = 0.891
- SG = I-42d, No. 122

abc: 4.669 4.669 11.286
angles: 78.06 78.06 90.00
Positions (direct):
K: 0.500 0.500 0.000
K: 0.250 0.750 0.500
Ti: 0.822 0.125 0.250
Ti: 0.375 0.178 0.750
Ti: 0.928 0.625 0.250
Ti: 0.875 0.072 0.750
In: 0.000 0.000 0.000
In: 0.750 0.250 0.500

---

Li2PmMg3 after structural relaxation, computed with PBE.

- E_tot (eV per atom) = -2.280
- mass density (g/cm³) = 2.7
- E_form (eV/atom) = -0.053
- SG = P4/mmm, No. 123

abc: 3.494 3.494 11.470
angles: 90.00 90.00 90.00
Positions (direct):
Mg: 0.000 0.000 0.293
Mg: 0.000 0.000 0.707
Mg: 0.000 0.000 0.000
Pm: 0.500 0.500 0.500
Li: 0.500 0.500 0.149
Li: 0.500 0.500 0.851

---

- Which value of mass density does entry 5 give?
  10.0 g/cm³

---

- mass density of number 6 (Ho2Zn5Ni)?
  8.1 g/cm³

---

- What is the E_tot in the fourth record?
  -5.567 eV per atom

---

Repeat the first record exactly.
Ni4Ir after structural relaxation, computed with PBE.

- E_tot (eV per atom) = -5.519
- mass density (g/cm³) = 8.9
- E_form (eV/atom) = 0.879
- SG = Im-3m, No. 229

abc: 4.700 4.700 4.700
angles: 109.47 109.47 109.47
Site moments in Bohr magnetons follow the coordinates.
Positions (direct):
Ir: 0.000 0.000 0.000  0.78
Ni: 0.000 0.000 0.500  0.62
Ni: 0.500 0.000 0.000  0.62
Ni: 0.500 0.500 0.500  0.62
Ni: 0.000 0.500 0.000  0.62